Record 1
This record from Alexandria via LeMat-Bulk describes an optimized crystal structure of Hf2Sb2Pb. The functional is GGA-PBE.

Output
The calculated volume comes out at 24.26 A^3/atom. For the uncorrected energy, the calculation gives -0.4880 Ry per atom. As for the energy above the most stable polymorph in this dataset: 0.00 eV/f.u. The calculation puts the density of states at the Fermi level at 7.295 states/eV per cell.

Cell lengths 7.9778, 7.9778, 3.8125 Å; angles 90.00, 90.00, 90.00 degrees
Last column: nearest neighbours and their distance in Å.
Fractional positions:
Hf1 0.1436 0.3564 0.0000  6 Sb 3.01-3.02, 2 Pb 3.07, 1 Hf 3.24
Hf2 0.3564 0.8564 0.0000  6 Sb 3.01-3.02, 2 Pb 3.07, 1 Hf 3.24
Hf3 0.6436 0.1436 0.0000  6 Sb 3.01-3.02, 2 Pb 3.07, 1 Hf 3.24
Hf4 0.8564 0.6436 0.0000  6 Sb 3.01-3.02, 2 Pb 3.07, 1 Hf 3.24
Sb1 0.1497 0.6497 0.5000  6 Hf 3.01-3.02
Sb2 0.3503 0.1497 0.5000  6 Hf 3.01-3.02
Sb3 0.6497 0.8503 0.5000  6 Hf 3.01-3.02
Sb4 0.8503 0.3503 0.5000  6 Hf 3.01-3.02
Pb1 0.0000 0.0000 0.0000  4 Hf 3.07
Pb2 0.5000 0.5000 0.0000  4 Hf 3.07

Record 2
This record from Alexandria via LeMat-Bulk describes an optimized crystal structure of Hf4SbPb. The functional is GGA-PBE.

Output
The calculated volume comes out at 22.94 A^3/atom. For the uncorrected energy, the calculation gives -0.5933 Ry per atom. The calculation puts the density of states at the Fermi level at 7.662 states/eV per cell.

Cell lengths 7.4967, 7.4967, 5.8698 Å; angles 100.62, 100.62, 116.92 degrees
Last column: nearest neighbours and their distance in Å.
Fractional positions:
Hf1 0.1046 0.7121 0.9412  2 Sb 2.95-3.02, 4 Hf 3.02-3.12, 2 Pb 3.08-3.23
Hf2 0.1908 0.4081 0.6317  3 Hf 2.96-3.08, 2 Sb 2.97-3.00, 2 Pb 3.08-3.16
Hf3 0.2879 0.8954 0.5588  2 Sb 2.95-3.02, 4 Hf 3.02-3.12, 2 Pb 3.08-3.23
Hf4 0.4081 0.1908 0.1317  3 Hf 2.96-3.08, 2 Sb 2.97-3.00, 2 Pb 3.08-3.16
Hf5 0.5919 0.8092 0.8683  3 Hf 2.96-3.08, 2 Sb 2.97-3.00, 2 Pb 3.08-3.16
Hf6 0.7121 0.1046 0.4412  2 Sb 2.95-3.02, 4 Hf 3.02-3.12, 2 Pb 3.08-3.23
Hf7 0.8092 0.5919 0.3683  3 Hf 2.96-3.08, 2 Sb 2.97-3.00, 2 Pb 3.08-3.16
Hf8 0.8954 0.2879 0.0588  2 Sb 2.95-3.02, 4 Hf 3.02-3.12, 2 Pb 3.08-3.23
Sb1 0.0075 0.9925 0.2500  2 Sb 2.94, 8 Hf 2.95-3.02
Sb2 0.9925 0.0075 0.7500  2 Sb 2.94, 8 Hf 2.95-3.02
Pb1 0.3977 0.6023 0.2500  10 Hf 3.08-3.41
Pb2 0.6023 0.3977 0.7500  10 Hf 3.08-3.41

Record 3
This record from Alexandria via LeMat-Bulk describes an optimized crystal structure of Hf2SbPb2. The functional is GGA-PBE.

Output
The calculated volume comes out at 25.34 A^3/atom. For the uncorrected energy, the calculation gives -0.4657 Ry per atom. As for the energy above the most stable polymorph in this dataset: 0.00 eV/f.u. The calculation puts the density of states at the Fermi level at 8.410 states/eV per cell.

Cell lengths 7.5737, 7.5737, 4.4184 Å; angles 90.00, 90.00, 90.00 degrees
Last column: nearest neighbours and their distance in Å.
Fractional positions:
Hf1 0.1423 0.3577 0.0000  2 Sb 2.92, 6 Pb 3.04-3.20, 1 Hf 3.05
Hf2 0.3577 0.8577 0.0000  2 Sb 2.92, 6 Pb 3.04-3.20, 1 Hf 3.05
Hf3 0.6423 0.1423 0.0000  2 Sb 2.92, 6 Pb 3.04-3.20, 1 Hf 3.05
Hf4 0.8577 0.6423 0.0000  2 Sb 2.92, 6 Pb 3.04-3.20, 1 Hf 3.05
Sb1 0.0000 0.0000 0.0000  4 Hf 2.92
Sb2 0.5000 0.5000 0.0000  4 Hf 2.92
Pb1 0.1629 0.6629 0.5000  6 Hf 3.04-3.20
Pb2 0.3371 0.1629 0.5000  6 Hf 3.04-3.20
Pb3 0.6629 0.8371 0.5000  6 Hf 3.04-3.20
Pb4 0.8371 0.3371 0.5000  6 Hf 3.04-3.20

Record 4
This record from Alexandria via LeMat-Bulk describes an optimized crystal structure of Hf2SbPb. The functional is GGA-PBE.

Output
The calculated volume comes out at 25.15 A^3/atom. For the uncorrected energy, the calculation gives -0.5144 Ry per atom. As for the energy above the most stable polymorph in this dataset: 0.00 eV/f.u. The calculation puts the density of states at the Fermi level at 2.159 states/eV per cell.

Cell lengths 7.2057, 7.2057, 7.2057 Å; angles 33.34, 33.34, 33.34 degrees
Last column: nearest neighbours and their distance in Å.
Fractional positions:
Hf1 0.2479 0.2479 0.2479  3 Sb 2.90, 3 Pb 2.96
Hf2 0.7521 0.7521 0.7521  3 Sb 2.90, 3 Pb 2.96
Sb1 0.5000 0.5000 0.5000  6 Hf 2.90
Pb1 0.0000 0.0000 0.0000  6 Hf 2.96

Record 5
This record from Alexandria via LeMat-Bulk describes an optimized crystal structure of HfSb2Pb. The functional is GGA-PBE.

Output
The calculated volume comes out at 26.10 A^3/atom. For the uncorrected energy, the calculation gives -0.4135 Ry per atom. The calculation puts the density of states at the Fermi level at 2.846 states/eV per cell.

Cell lengths 3.7427, 3.7427, 7.4524 Å; angles 90.00, 90.00, 90.00 degrees
Last column: nearest neighbours and their distance in Å.
Fractional positions:
Hf1 0.0000 0.0000 0.0000  8 Sb 3.05
Sb1 0.5000 0.5000 0.2037  1 Sb 3.04, 4 Hf 3.05
Sb2 0.5000 0.5000 0.7963  1 Sb 3.04, 4 Hf 3.05
Pb1 0.0000 0.0000 0.5000  8 Sb 3.45, 2 Hf 3.73, 4 Pb 3.74

Record 6
This record from Alexandria via LeMat-Bulk describes an optimized crystal structure of HfSb2Pb. The functional is GGA-PBE.

Output
The calculated volume comes out at 27.77 A^3/atom. For the uncorrected energy, the calculation gives -0.4136 Ry per atom. The calculation puts the density of states at the Fermi level at 1.667 states/eV per cell.

Cell lengths 11.2850, 11.2850, 11.2850 Å; angles 17.32, 17.32, 17.32 degrees
Last column: nearest neighbours and their distance in Å.
Fractional positions:
Hf1 0.0000 0.0000 0.0000  6 Sb 2.99
Sb1 0.4012 0.4012 0.4012  3 Hf 2.99, 1 Pb 3.29
Sb2 0.5988 0.5988 0.5988  3 Hf 2.99, 1 Pb 3.29
Pb1 0.5000 0.5000 0.5000  2 Sb 3.29, 6 Pb 3.40

Record 7
This record from Alexandria via LeMat-Bulk describes an optimized crystal structure of Hf2SbPb. The functional is GGA-PBE.

Output
The calculated volume comes out at 22.93 A^3/atom. For the uncorrected energy, the calculation gives -0.5102 Ry per atom. As for the energy above the most stable polymorph in this dataset: 0.23 eV/f.u. The calculation puts the density of states at the Fermi level at 4.929 states/eV per cell.

Cell lengths 5.0617, 5.0617, 5.0617 Å; angles 60.00, 60.00, 60.00 degrees
Last column: nearest neighbours and their distance in Å.
Fractional positions:
Hf1 0.2500 0.2500 0.2500  4 Pb 3.10, 4 Sb 3.10
Hf2 0.7500 0.7500 0.7500  4 Pb 3.10, 4 Sb 3.10
Sb1 0.0000 0.0000 0.0000  8 Hf 3.10
Pb1 0.5000 0.5000 0.5000  8 Hf 3.10

Record 8
This record from Alexandria via LeMat-Bulk describes an optimized crystal structure of Hf5SbPb2. The functional is GGA-PBE.

Output
The calculated volume comes out at 22.78 A^3/atom. For the uncorrected energy, the calculation gives -0.5709 Ry per atom. The calculation puts the density of states at the Fermi level at 16.660 states/eV per cell.

Cell lengths 6.6425, 12.5351, 4.3782 Å; angles 90.00, 90.00, 90.00 degrees
Last column: nearest neighbours and their distance in Å.
Fractional positions:
Hf1 0.0000 0.0000 0.0000  4 Pb 3.03, 6 Hf 3.26-3.28, 2 Sb 3.32
Hf2 0.0706 0.2576 0.0000  4 Pb 3.07, 1 Sb 3.07, 7 Hf 3.23-3.33
Hf3 0.2006 0.6126 0.5000  2 Sb 2.93, 2 Pb 3.09-3.12, 4 Hf 3.23-3.27
Hf4 0.2994 0.1126 0.5000  2 Sb 2.93, 2 Pb 3.09-3.12, 4 Hf 3.23-3.27
Hf5 0.4294 0.7576 0.0000  4 Pb 3.07, 1 Sb 3.07, 7 Hf 3.23-3.33
Hf6 0.5000 0.5000 0.0000  4 Pb 3.03, 6 Hf 3.26-3.28, 2 Sb 3.32
Hf7 0.5706 0.2424 0.0000  4 Pb 3.07, 1 Sb 3.07, 7 Hf 3.23-3.33
Hf8 0.7006 0.8874 0.5000  2 Sb 2.93, 2 Pb 3.09-3.12, 4 Hf 3.23-3.27
Hf9 0.7994 0.3874 0.5000  2 Sb 2.93, 2 Pb 3.09-3.12, 4 Hf 3.23-3.27
Hf10 0.9294 0.7424 0.0000  4 Pb 3.07, 1 Sb 3.07, 7 Hf 3.23-3.33
Sb1 0.0000 0.5000 0.0000  6 Hf 2.93-3.07
Sb2 0.5000 0.0000 0.0000  6 Hf 2.93-3.07
Pb1 0.1674 0.8587 0.5000  9 Hf 3.03-3.30
Pb2 0.3326 0.3587 0.5000  9 Hf 3.03-3.30
Pb3 0.6674 0.6413 0.5000  9 Hf 3.03-3.30
Pb4 0.8326 0.1413 0.5000  9 Hf 3.03-3.30

- uncorrected energy of number 3 (Hf2SbPb2)?
  -0.4657 Ry per atom

- Look up the uncorrected energy of the first one.
  -0.4880 Ry per atom

What did the sixth record say?
This record from Alexandria via LeMat-Bulk describes an optimized crystal structure of HfSb2Pb. The functional is GGA-PBE.

Output
The calculated volume comes out at 27.77 A^3/atom. For the uncorrected energy, the calculation gives -0.4136 Ry per atom. The calculation puts the density of states at the Fermi level at 1.667 states/eV per cell.

Cell lengths 11.2850, 11.2850, 11.2850 Å; angles 17.32, 17.32, 17.32 degrees
Last column: nearest neighbours and their distance in Å.
Fractional positions:
Hf1 0.0000 0.0000 0.0000  6 Sb 2.99
Sb1 0.4012 0.4012 0.4012  3 Hf 2.99, 1 Pb 3.29
Sb2 0.5988 0.5988 0.5988  3 Hf 2.99, 1 Pb 3.29
Pb1 0.5000 0.5000 0.5000  2 Sb 3.29, 6 Pb 3.40